Li2DyCl4 after structural relaxation. Source: Alexandria via LeMat-Bulk, functional GGA-PBE.

Cell: 6.544 6.544 6.544 Å, 104.43 104.43 120.10°
Fractional coordinates of all 7 atoms:
1 Li 0.250 0.750 0.500
2 Li 0.750 0.250 0.500
3 Dy 0.000 0.000 0.000
4 Cl 0.114 0.310 0.424
5 Cl 0.310 0.886 0.196
6 Cl 0.690 0.114 0.804
7 Cl 0.886 0.690 0.576

Computed properties:
Calculated volume   210.1 Å³ per cell
Spin magnetization   1.001 μB/f.u.
Space group   I4/m, No. 87
Crystal system   tetragonal
E_form (uncorrected)   -1158 kJ/mol of formula units